# 1
A relaxed BaClF3 crystal. Source: Alexandria, functional PBE.

a b c (Å): 4.590 4.590 4.590
angles (deg): 90.00 90.00 90.00
Fractional positions:
F 0.000 0.000 0.500
F 0.000 0.500 0.000
F 0.500 0.000 0.000
Cl 0.000 0.000 0.000
Ba 0.500 0.500 0.500

The raw total energy is -3.7072 eV/atom. The calculation puts the density at 3945 kg/m³. As for the uncorrected formation energy: -1.831 eV per atom. As for the polymorph energy (0 for the lowest one): 628 meV/atom. The density of states at the Fermi level comes out at 2.039 states/eV per cell. The crystal system is cubic. The volume comes out at 97 Å³/f.u.

# 2
A relaxed LiTl3In3 crystal. Source: Alexandria, functional PBE.

a b c (Å): 8.331 8.331 8.331
angles (deg): 90.00 90.00 90.00
Fractional positions:
In 0.000 0.500 0.750
In 0.500 0.250 0.000
In 0.500 0.750 0.000
In 0.000 0.500 0.250
In 0.750 0.000 0.500
In 0.250 0.000 0.500
Tl 0.750 0.500 0.000
Tl 0.000 0.750 0.500
Tl 0.250 0.500 0.000
Tl 0.000 0.250 0.500
Tl 0.500 0.000 0.250
Tl 0.500 0.000 0.750
Li 0.500 0.500 0.500
Li 0.000 0.000 0.000

The raw total energy is -2.1035 eV/atom. The calculation puts the density at 5540 kg/m³. As for the polymorph energy (0 for the lowest one): 361 meV/atom. The density of states at the Fermi level comes out at 7.871 states/eV per cell. The crystal system is cubic. The volume comes out at 289 Å³/f.u.

# 3
A relaxed CuI crystal. Source: Alexandria, functional PBE.

a b c (Å): 4.155 4.155 22.435
angles (deg): 90.00 90.00 120.00
Fractional positions:
I 0.333 0.667 0.169
I 0.000 0.000 0.999
I 0.000 0.000 0.331
I 0.000 0.000 0.665
I 0.333 0.667 0.501
I 0.667 0.333 0.835
Cu 0.000 0.000 0.448
Cu 0.333 0.667 0.052
Cu 0.333 0.667 0.385
Cu 0.667 0.333 0.720
Cu 0.000 0.000 0.115
Cu 0.000 0.000 0.780

The raw total energy is -2.9644 eV/atom. The calculation puts the density at 5657 kg/m³. As for the uncorrected formation energy: -0.141 eV per atom. The density of states at the Fermi level comes out at 0.000 states/eV per cell. The crystal system is trigonal. The volume comes out at 56 Å³/f.u.

# 4
A relaxed Rb2BaNpO4 crystal. Source: Alexandria, functional PBE.

a b c (Å): 3.709 6.694 7.014
angles (deg): 110.14 90.00 90.00
Fractional positions:
Ba 0.500 0.500 0.000
O 0.500 0.201 0.184
O 0.500 0.799 0.816
O 0.000 0.795 0.176
O 0.000 0.205 0.824
Rb 0.000 0.500 0.500
Rb 0.500 0.000 0.500
Np 0.000 0.000 0.000

The raw total energy is -6.8146 eV/atom. The calculation puts the density at 6187 kg/m³. As for the uncorrected formation energy: -2.236 eV per atom. The density of states at the Fermi level comes out at 7.649 states/eV per cell. The crystal system is monoclinic. The volume comes out at 164 Å³/f.u.

# 5
A relaxed NdIn3Sn3 crystal. Source: Alexandria, functional PBE.

a b c (Å): 6.954 8.653 6.693
angles (deg): 89.98 89.94 90.45
Fractional positions:
In 0.639 0.338 0.500
In 0.787 0.758 0.500
In 0.755 0.276 0.000
In 0.213 0.242 0.500
In 0.361 0.662 0.500
In 0.245 0.724 0.000
Sn 0.500 0.000 0.740
Sn 0.000 0.500 0.729
Sn 0.000 0.500 0.271
Sn 0.000 0.000 0.772
Sn 0.000 0.000 0.228
Sn 0.500 0.000 0.260
Nd 0.716 0.713 0.000
Nd 0.284 0.287 0.000

The raw total energy is -3.7070 eV/atom. The calculation puts the density at 6967 kg/m³. The density of states at the Fermi level comes out at 8.070 states/eV per cell. The crystal system is triclinic. The volume comes out at 201 Å³/f.u.

# 6
A relaxed CrAs2Ir crystal. Source: Alexandria, functional PBE.

a b c (Å): 3.037 4.262 5.213
angles (deg): 65.62 90.00 90.00
Fractional positions:
As 0.000 0.000 0.000
As 0.500 0.000 0.500
Cr 0.500 0.500 0.000
Ir 0.000 0.500 0.500

The raw total energy is -6.8754 eV/atom. The calculation puts the density at 10646 kg/m³. As for the polymorph energy (0 for the lowest one): 112 meV/atom. The density of states at the Fermi level comes out at 2.551 states/eV per cell. The crystal system is monoclinic. The volume comes out at 61 Å³/f.u.

# 7
A relaxed LaInAg2 crystal. Source: Alexandria, functional PBE.

a b c (Å): 9.841 9.841 9.841
angles (deg): 20.19 20.19 20.19
Fractional positions:
La 0.746 0.746 0.746
In 0.512 0.512 0.512
Ag 0.252 0.252 0.252
Ag 0.990 0.990 0.990

The raw total energy is -3.3304 eV/atom. The calculation puts the density at 7845 kg/m³. The density of states at the Fermi level comes out at 3.026 states/eV per cell. The crystal system is trigonal. The volume comes out at 99 Å³/f.u.

# 8
A relaxed PmDy3Tm7 crystal. Source: Alexandria, functional PBE.

a b c (Å): 8.533 6.976 6.976
angles (deg): 120.00 90.00 90.00
Fractional positions:
Tm 0.447 0.832 0.168
Tm 0.447 0.832 0.665
Tm 0.447 0.335 0.168
Tm 0.118 0.665 0.833
Tm 0.118 0.167 0.833
Tm 0.118 0.167 0.335
Tm 0.119 0.667 0.333
Dy 0.785 0.999 0.500
Dy 0.785 0.500 0.001
Dy 0.785 0.500 0.500
Pm 0.448 0.333 0.667

The raw total energy is -4.3351 eV/atom. The calculation puts the density at 8381 kg/m³. As for the polymorph energy (0 for the lowest one): 38 meV/atom. The density of states at the Fermi level comes out at 17.149 states/eV per cell. The crystal system is trigonal. The volume comes out at 360 Å³/f.u.

# 9
A relaxed LiCuNi2C crystal. Source: Alexandria, functional PBE.

a b c (Å): 3.670 3.670 3.972
angles (deg): 90.00 90.00 90.00
Fractional positions:
C 0.000 0.000 0.000
Li 0.000 0.000 0.500
Ni 0.500 0.000 0.000
Ni 0.000 0.500 0.000
Cu 0.500 0.500 0.500

The raw total energy is -5.2550 eV/atom. The calculation puts the density at 6204 kg/m³. As for the polymorph energy (0 for the lowest one): 91 meV/atom. The density of states at the Fermi level comes out at 3.787 states/eV per cell. The crystal system is tetragonal. The volume comes out at 54 Å³/f.u.

# 10
A relaxed ZrSiO6 crystal. Source: Alexandria, functional PBE.

a b c (Å): 5.433 5.433 5.433
angles (deg): 60.00 60.00 60.00
Fractional positions:
Zr 0.500 0.500 0.500
O 0.773 0.227 0.227
O 0.227 0.773 0.227
O 0.227 0.227 0.773
O 0.227 0.773 0.773
O 0.773 0.773 0.227
O 0.773 0.227 0.773
Si 0.000 0.000 0.000

The raw total energy is -7.1488 eV/atom. The calculation puts the density at 3152 kg/m³. As for the uncorrected formation energy: -1.684 eV per atom. The density of states at the Fermi level comes out at 5.423 states/eV per cell. The crystal system is cubic. The volume comes out at 113 Å³/f.u.

# 11
A relaxed NbCoAgAs2 crystal. Source: Alexandria, functional PBE.

a b c (Å): 4.843 4.535 4.843
angles (deg): 90.00 90.00 90.00
Fractional positions:
Nb 0.500 0.500 0.500
As 0.500 0.000 0.000
As 0.000 0.000 0.500
Ag 0.000 0.000 0.000
Co 0.000 0.500 0.000

The raw total energy is -4.4883 eV/atom. The calculation puts the density at 6394 kg/m³. The density of states at the Fermi level comes out at 8.638 states/eV per cell. The crystal system is tetragonal. The volume comes out at 106 Å³/f.u.

# 12
A relaxed NdGe8Os2 crystal. Source: Alexandria, functional PBE.

a b c (Å): 6.305 6.305 5.535
angles (deg): 90.00 90.00 90.00
Fractional positions:
Ge 0.210 0.210 0.252
Ge 0.790 0.210 0.252
Ge 0.790 0.210 0.748
Ge 0.210 0.210 0.748
Ge 0.790 0.790 0.252
Ge 0.210 0.790 0.748
Ge 0.790 0.790 0.748
Ge 0.210 0.790 0.252
Nd 0.500 0.500 0.500
Os 0.000 0.500 0.000
Os 0.500 0.000 0.000

The raw total energy is -5.6606 eV/atom. The calculation puts the density at 8345 kg/m³. The density of states at the Fermi level comes out at 5.574 states/eV per cell. The crystal system is tetragonal. The volume comes out at 220 Å³/f.u.